# 1
VASP calculation (PBE) on a geometry-optimized NaCdBi4 structure.

## Properties
As for the density of states at the Fermi level: 0.45 states/eV per atom. As for the formation energy: -57 meV/atom. For the energy relative to the lowest polymorph listed for this composition, the calculation gives 0.000 eV/atom.

Cell: 9.7503 9.7503 6.0613 Å, 90.04 90.04 138.72°
Positions (direct):
Na 0.1211 0.8789 0.7500
Na 0.8789 0.1211 0.2500
Cd 0.3715 0.6285 0.2500
Cd 0.6285 0.3715 0.7500
Bi 0.0435 0.4774 0.7501
Bi 0.2326 0.3018 0.7508
Bi 0.3018 0.2326 0.2508
Bi 0.4774 0.0435 0.2501
Bi 0.5226 0.9565 0.7499
Bi 0.6982 0.7674 0.7492
Bi 0.7674 0.6982 0.2492
Bi 0.9565 0.5226 0.2499

=====

# 2
VASP calculation (PBE) on a geometry-optimized Na2Cd4Bi5 structure.

## Properties
As for the density of states at the Fermi level: 0.41 states/eV per atom. As for the formation energy: -26 meV/atom.

Cell: 7.0854 7.0854 9.6207 Å, 121.60 121.60 61.80°
Positions (direct):
Na 0.0670 0.0670 0.2690
Na 0.9330 0.9330 0.7310
Cd 0.2630 0.2630 0.0347
Cd 0.4048 0.4048 0.6202
Cd 0.5952 0.5952 0.3798
Cd 0.7370 0.7370 0.9653
Bi 0.0468 0.5995 0.3183
Bi 0.4005 0.9532 0.6817
Bi 0.5000 0.5000 0.0000
Bi 0.5995 0.0468 0.3183
Bi 0.9532 0.4005 0.6817

=====

# 3
VASP calculation (PBE) on a geometry-optimized Na2CdBi3 structure.

## Properties
As for the density of states at the Fermi level: 0.34 states/eV per atom. As for the formation energy: -179 meV/atom. For the energy relative to the lowest polymorph listed for this composition, the calculation gives 0.000 eV/atom.

Cell: 6.4758 6.4758 8.8813 Å, 98.70 98.70 94.22°
Positions (direct):
Na 0.1251 0.6278 0.8745
Na 0.3722 0.8749 0.6255
Na 0.6278 0.1251 0.3745
Na 0.8749 0.3722 0.1255
Cd 0.4245 0.5755 0.2500
Cd 0.5755 0.4245 0.7500
Bi 0.0946 0.9054 0.2500
Bi 0.1697 0.3328 0.5111
Bi 0.3328 0.1697 0.0111
Bi 0.6672 0.8303 0.9889
Bi 0.8303 0.6672 0.4889
Bi 0.9054 0.0946 0.7500

=====

# 4
VASP calculation (PBE) on a geometry-optimized Na2CdBi3 structure.

## Properties
As for the density of states at the Fermi level: 0.44 states/eV per atom. As for the formation energy: -152 meV/atom. For the energy relative to the lowest polymorph listed for this composition, the calculation gives 0.027 eV/atom.

Cell: 10.9964 10.1450 6.4526 Å, 79.60 65.15 35.25°
Positions (direct):
Na 0.2474 0.7526 0.7526
Na 0.2500 0.2500 0.2500
Na 0.7500 0.7500 0.7500
Na 0.7526 0.2474 0.2474
Cd 0.3364 0.3364 0.6636
Cd 0.6636 0.6636 0.3364
Bi 0.1704 0.6617 0.3383
Bi 0.1768 0.1768 0.8232
Bi 0.3383 0.8296 0.1704
Bi 0.6617 0.1704 0.8296
Bi 0.8232 0.8232 0.1768
Bi 0.8296 0.3383 0.6617

=====

# 5
VASP calculation (PBE) on a geometry-optimized NaCdBi2 structure.

## Properties
As for the density of states at the Fermi level: 0.37 states/eV per atom. As for the formation energy: -76 meV/atom.

Cell: 10.0971 10.0971 10.0971 Å, 21.30 21.30 21.30°
Positions (direct):
Na 0.0000 0.0000 0.0000
Cd 0.5000 0.5000 0.5000
Bi 0.2443 0.2443 0.2443
Bi 0.7557 0.7557 0.7557

=====

# 6
VASP calculation (PBE) on a geometry-optimized Na4Cd5Bi6 structure.

## Properties
As for the density of states at the Fermi level: 0.33 states/eV per atom. As for the formation energy: -147 meV/atom.

Cell: 11.3873 11.3873 17.2592 Å, 90.00 90.00 155.98°
Positions (direct):
Na 0.0240 0.9760 0.5000
Na 0.0383 0.9617 0.7740
Na 0.1520 0.8480 0.2864
Na 0.1787 0.8213 0.9332
Na 0.8213 0.1787 0.4332
Na 0.8480 0.1520 0.7864
Na 0.9617 0.0383 0.2740
Na 0.9760 0.0240 0.0000
Cd 0.1579 0.8421 0.6277
Cd 0.3011 0.6989 0.6083
Cd 0.3430 0.6570 0.2730
Cd 0.3535 0.6465 0.9921
Cd 0.4364 0.5636 0.6852
Cd 0.5636 0.4364 0.1852
Cd 0.6465 0.3535 0.4921
Cd 0.6570 0.3430 0.7730
Cd 0.6989 0.3011 0.1083
Cd 0.8421 0.1579 0.1277
Bi 0.1079 0.8921 0.0943
Bi 0.2226 0.7774 0.4642
Bi 0.2427 0.7573 0.7665
Bi 0.4260 0.5740 0.4162
Bi 0.4317 0.5683 0.1351
Bi 0.4459 0.5541 0.8591
Bi 0.5541 0.4459 0.3591
Bi 0.5683 0.4317 0.6351
Bi 0.5740 0.4260 0.9162
Bi 0.7573 0.2427 0.2665
Bi 0.7774 0.2226 0.9642
Bi 0.8921 0.1079 0.5943

=====

# 7
VASP calculation (PBE) on a geometry-optimized Na3CdBi structure.

## Properties
As for the density of states at the Fermi level: 0.16 states/eV per atom. As for the formation energy: -273 meV/atom. For the energy relative to the lowest polymorph listed for this composition, the calculation gives 0.000 eV/atom.

Cell: 6.1605 5.3980 8.8747 Å, 90.00 106.65 90.00°
Positions (direct):
Na 0.1540 0.2500 0.0850
Na 0.2243 0.7500 0.7078
Na 0.3169 0.2500 0.5101
Na 0.6831 0.7500 0.4899
Na 0.7757 0.2500 0.2922
Na 0.8460 0.7500 0.9150
Cd 0.4698 0.7500 0.0826
Cd 0.5302 0.2500 0.9174
Bi 0.1294 0.7500 0.2951
Bi 0.8706 0.2500 0.7049

=====

# 8
VASP calculation (PBE) on a geometry-optimized Na4CdBi2 structure.

## Properties
As for the density of states at the Fermi level: 0.18 states/eV per atom. As for the formation energy: -278 meV/atom.

Cell: 10.1280 10.1280 10.1280 Å, 31.88 31.88 31.88°
Positions (direct):
Na 0.0963 0.0963 0.0963
Na 0.2888 0.2888 0.2888
Na 0.7112 0.7112 0.7112
Na 0.9037 0.9037 0.9037
Cd 0.5000 0.5000 0.5000
Bi 0.4034 0.4034 0.4034
Bi 0.5966 0.5966 0.5966

=====

# 9
VASP calculation (PBE) on a geometry-optimized NaCd3Bi structure.

## Properties
As for the density of states at the Fermi level: 0.39 states/eV per atom. As for the formation energy: 290 meV/atom. For the energy relative to the lowest polymorph listed for this composition, the calculation gives 0.371 eV/atom.

Cell: 5.8821 5.8821 5.8821 Å, 90.00 90.00 90.00°
Positions (direct):
Na 0.0000 0.0000 0.0000
Cd 0.0000 0.5000 0.5000
Cd 0.5000 0.0000 0.5000
Cd 0.5000 0.5000 0.0000
Bi 0.5000 0.5000 0.5000

=====

# 10
VASP calculation (PBE) on a geometry-optimized NaCd2Bi2 structure.

## Properties
As for the density of states at the Fermi level: 0.44 states/eV per atom. As for the formation energy: -47 meV/atom. For the energy relative to the lowest polymorph listed for this composition, the calculation gives 0.061 eV/atom.

Cell: 8.6333 8.6333 3.8657 Å, 90.00 90.00 90.00°
Positions (direct):
Na 0.0000 0.0000 0.0000
Na 0.5000 0.5000 0.0000
Cd 0.1232 0.3768 0.0000
Cd 0.3768 0.8768 0.0000
Cd 0.6232 0.1232 0.0000
Cd 0.8768 0.6232 0.0000
Bi 0.1774 0.6774 0.5000
Bi 0.3226 0.1774 0.5000
Bi 0.6774 0.8226 0.5000
Bi 0.8226 0.3226 0.5000

=====

# 11
VASP calculation (PBE) on a geometry-optimized Na3Cd8Bi structure.

## Properties
As for the density of states at the Fermi level: 0.47 states/eV per atom. As for the formation energy: -87 meV/atom.

Cell: 10.3658 10.3658 10.3658 Å, 33.70 33.70 33.70°
Positions (direct):
Na 0.0000 0.0000 0.0000
Na 0.1261 0.1261 0.1261
Na 0.5024 0.5024 0.5024
Cd 0.0626 0.0626 0.5619
Cd 0.0626 0.5619 0.0626
Cd 0.0668 0.5636 0.5636
Cd 0.3138 0.3138 0.3138
Cd 0.5619 0.0626 0.0626
Cd 0.5636 0.0668 0.5636
Cd 0.5636 0.5636 0.0668
Cd 0.8133 0.8133 0.8133
Bi 0.6305 0.6305 0.6305

=====

# 12
VASP calculation (PBE) on a geometry-optimized Na3CdBi3 structure.

## Properties
As for the density of states at the Fermi level: 0.22 states/eV per atom. As for the formation energy: -198 meV/atom.

Cell: 8.6549 8.6549 7.9317 Å, 104.50 104.50 118.65°
Positions (direct):
Na 0.1157 0.8843 0.0000
Na 0.3159 0.6841 0.5000
Na 0.4365 0.4365 0.1658
Na 0.5635 0.5635 0.8342
Na 0.6841 0.3159 0.5000
Na 0.8843 0.1157 0.0000
Cd 0.1372 0.1372 0.7202
Cd 0.8628 0.8628 0.2798
Bi 0.1128 0.4887 0.8637
Bi 0.2382 0.2382 0.4087
Bi 0.4887 0.1128 0.8637
Bi 0.5113 0.8872 0.1363
Bi 0.7618 0.7618 0.5913
Bi 0.8872 0.5113 0.1363

=====

# 13
VASP calculation (PBE) on a geometry-optimized Na5Cd4Bi4 structure.

## Properties
As for the density of states at the Fermi level: 0.29 states/eV per atom. As for the formation energy: -216 meV/atom.

Cell: 9.3641 9.3641 9.3641 Å, 93.78 93.78 150.24°
Positions (direct):
Na 0.0000 0.0000 0.0000
Na 0.2899 0.3680 0.6579
Na 0.3680 0.7101 0.0781
Na 0.6320 0.2899 0.9219
Na 0.7101 0.6320 0.3421
Cd 0.1125 0.5880 0.7005
Cd 0.4120 0.1125 0.5245
Cd 0.5880 0.8875 0.4755
Cd 0.8875 0.4120 0.2995
Bi 0.0556 0.2488 0.3044
Bi 0.2488 0.9444 0.1932
Bi 0.7512 0.0556 0.8068
Bi 0.9444 0.7512 0.6956

=====

# 14
VASP calculation (PBE) on a geometry-optimized NaCd3Bi2 structure.

## Properties
As for the density of states at the Fermi level: 0.34 states/eV per atom. As for the formation energy: -68 meV/atom.

Cell: 8.8956 8.8956 10.0869 Å, 123.05 123.05 29.80°
Positions (direct):
Na 0.0855 0.0855 0.2071
Na 0.9145 0.9145 0.7929
Cd 0.0724 0.0724 0.6859
Cd 0.2539 0.2539 0.1412
Cd 0.4234 0.4234 0.5510
Cd 0.5766 0.5766 0.4490
Cd 0.7461 0.7461 0.8588
Cd 0.9276 0.9276 0.3141
Bi 0.2355 0.2355 0.6256
Bi 0.4051 0.4051 0.0697
Bi 0.5949 0.5949 0.9303
Bi 0.7645 0.7645 0.3744

=====

# 15
VASP calculation (PBE) on a geometry-optimized NaNdCdBi structure.

## Properties
As for the density of states at the Fermi level: 0.85 states/eV per atom. As for the formation energy: -351 meV/atom.

Cell: 5.4761 5.4761 5.4761 Å, 60.00 60.00 60.00°
Positions (direct):
Na 0.0000 0.0000 0.0000
Nd 0.5000 0.5000 0.5000
Cd 0.2500 0.2500 0.2500
Bi 0.7500 0.7500 0.7500

=====

# 16
VASP calculation (PBE) on a geometry-optimized NaCd2NiBi structure.

## Properties
As for the density of states at the Fermi level: 0.39 states/eV per atom. As for the formation energy: -2 meV/atom. For the energy relative to the lowest polymorph listed for this composition, the calculation gives 0.000 eV/atom.

Cell: 5.0806 5.0806 5.0502 Å, 90.00 90.00 90.00°
Positions (direct):
Na 0.0000 0.0000 0.0000
Cd 0.0000 0.5000 0.5000
Cd 0.5000 0.0000 0.5000
Ni 0.5000 0.5000 0.5000
Bi 0.5000 0.5000 0.0000

=====

# 17
VASP calculation (PBE) on a geometry-optimized NaCd2NiBi structure.

## Properties
As for the density of states at the Fermi level: 0.71 states/eV per atom. As for the formation energy: 256 meV/atom. For the energy relative to the lowest polymorph listed for this composition, the calculation gives 0.258 eV/atom.

Cell: 4.9861 4.9861 5.0664 Å, 90.00 90.00 90.00°
Positions (direct):
Na 0.0000 0.0000 0.0000
Cd 0.0000 0.5000 0.5000
Cd 0.5000 0.0000 0.5000
Ni 0.0000 0.0000 0.5000
Bi 0.5000 0.5000 0.0000

=====

# 18
VASP calculation (PBE) on a geometry-optimized Na2CdBiO4 structure.

## Properties
As for the density of states at the Fermi level: 0.39 states/eV per atom. The calculation puts the formation energy (no corrections) at -121.9 kJ per mole of atoms.

Cell: 5.9179 3.4413 5.9397 Å, 90.00 109.46 90.00°
Positions (direct):
Na 0.0000 0.0000 0.0000
Na 0.5000 0.5000 0.0000
Cd 0.0000 0.5000 0.5000
Bi 0.5000 0.0000 0.5000
O 0.2547 0.0000 0.7186
O 0.2728 0.5000 0.2743
O 0.7272 0.5000 0.7257
O 0.7453 0.0000 0.2814

=====

# 19
VASP calculation (PBE) on a geometry-optimized Na4CdBi3O8 structure.

## Properties
As for the density of states at the Fermi level: 0.72 states/eV per atom. The calculation puts the formation energy (no corrections) at -123.4 kJ per mole of atoms.

Cell: 6.9537 6.9537 6.9537 Å, 60.19 60.19 60.19°
Positions (direct):
Na 0.0000 0.0000 0.0000
Na 0.0000 0.5000 0.5000
Na 0.5000 0.0000 0.5000
Na 0.5000 0.5000 0.0000
Cd 0.5000 0.5000 0.5000
Bi 0.0000 0.0000 0.5000
Bi 0.0000 0.5000 0.0000
Bi 0.5000 0.0000 0.0000
O 0.2365 0.7441 0.7441
O 0.2446 0.2446 0.2446
O 0.2559 0.2559 0.7635
O 0.2559 0.7635 0.2559
O 0.7441 0.2365 0.7441
O 0.7441 0.7441 0.2365
O 0.7554 0.7554 0.7554
O 0.7635 0.2559 0.2559

=====

# 20
VASP calculation (PBE) on a geometry-optimized Na2Cd3BiO6 structure.

## Properties
As for the density of states at the Fermi level: 0.29 states/eV per atom. The calculation puts the formation energy (no corrections) at -115.0 kJ per mole of atoms.

Cell: 5.8853 5.8853 5.8651 Å, 100.00 100.00 119.62°
Positions (direct):
Na 0.1654 0.8346 0.0000
Na 0.8346 0.1654 0.0000
Cd 0.0000 0.0000 0.5000
Cd 0.3301 0.6699 0.5000
Cd 0.6699 0.3301 0.5000
Bi 0.5000 0.5000 0.0000
O 0.1025 0.4147 0.7437
O 0.2734 0.2734 0.2431
O 0.4147 0.1025 0.7437
O 0.5853 0.8975 0.2563
O 0.7266 0.7266 0.7569
O 0.8975 0.5853 0.2563

=====

# 21
VASP calculation (PBE) on a geometry-optimized NaCd3Bi4Pb2 structure.

## Properties
As for the density of states at the Fermi level: 0.30 states/eV per atom. As for the formation energy: 47 meV/atom.

Cell: 4.7915 4.7915 14.1756 Å, 90.00 90.00 90.00°
Positions (direct):
Na 0.0000 0.0000 0.0000
Cd 0.0000 0.5000 0.3571
Cd 0.5000 0.0000 0.6429
Cd 0.5000 0.5000 0.0000
Bi 0.0000 0.0000 0.5000
Bi 0.0000 0.5000 0.1523
Bi 0.5000 0.0000 0.8477
Bi 0.5000 0.5000 0.5000
Pb 0.0000 0.5000 0.8064
Pb 0.5000 0.0000 0.1936

=====

# 22
VASP calculation (PBE) on a geometry-optimized Na3Cd2Bi4Pb2 structure.

## Properties
As for the density of states at the Fermi level: 0.44 states/eV per atom. As for the formation energy: -140 meV/atom.

Cell: 5.0115 5.0115 16.4629 Å, 90.00 90.00 120.00°
Positions (direct):
Na 0.0000 0.0000 0.0000
Na 0.0000 0.0000 0.2467
Na 0.0000 0.0000 0.7533
Cd 0.3333 0.6667 0.1529
Cd 0.6667 0.3333 0.8471
Bi 0.3333 0.6667 0.3512
Bi 0.3333 0.6667 0.8926
Bi 0.6667 0.3333 0.1074
Bi 0.6667 0.3333 0.6488
Pb 0.3333 0.6667 0.5660
Pb 0.6667 0.3333 0.4340

=====

Number 1: magnetization 0.00 μB per formula unit, calculated volume 190.10 Å³/f.u., VASP energy -3.016 eV per atom. Number 2: magnetization 0.00 μB per formula unit, calculated volume 337.07 Å³/f.u., VASP energy -2.363 eV per atom. Number 3: magnetization 0.00 μB per formula unit, calculated volume 181.07 Å³/f.u., VASP energy -2.712 eV per atom. Number 4: magnetization 0.00 μB per formula unit, calculated volume 179.18 Å³/f.u., VASP energy -2.685 eV per atom. Number 5: magnetization 0.00 μB per formula unit, calculated volume 118.98 Å³/f.u., VASP energy -2.575 eV per atom. Number 6: magnetization 0.00 μB per formula unit, calculated volume 455.49 Å³/f.u., VASP energy -2.357 eV per atom. Number 7: magnetization 0.00 μB per formula unit, calculated volume 141.37 Å³/f.u., VASP energy -2.024 eV per atom. Number 8: magnetization 0.00 μB per formula unit, calculated volume 257.39 Å³/f.u., VASP energy -2.272 eV per atom. Number 9: magnetization 0.00 μB per formula unit, calculated volume 203.52 Å³/f.u., VASP energy -1.299 eV per atom. Number 10: magnetization 0.00 μB per formula unit, calculated volume 144.06 Å³/f.u., VASP energy -2.229 eV per atom. Number 11: magnetization 0.00 μB per formula unit, calculated volume 305.45 Å³/f.u., VASP energy -1.350 eV per atom. Number 12: magnetization 0.00 μB per formula unit, calculated volume 227.16 Å³/f.u., VASP energy -2.557 eV per atom. Number 13: magnetization 0.00 μB per formula unit, calculated volume 393.94 Å³/f.u., VASP energy -2.199 eV per atom. Number 14: magnetization 0.00 μB per formula unit, calculated volume 163.74 Å³/f.u., VASP energy -2.039 eV per atom. Number 15: magnetization 0.00 μB per formula unit, calculated volume 116.12 Å³/f.u., VASP energy -3.072 eV per atom. Number 16: magnetization 0.00 μB per formula unit, calculated volume 130.36 Å³/f.u., VASP energy -2.565 eV per atom. Number 17: magnetization 0.00 μB per formula unit, calculated volume 125.95 Å³/f.u., VASP energy -2.307 eV per atom. Number 18: magnetization 0.00 μB per formula unit, calculated volume 114.05 Å³/f.u., VASP energy -4.672 eV per atom. Number 19: magnetization 0.00 μB per formula unit, calculated volume 238.75 Å³/f.u., VASP energy -4.873 eV per atom. Number 20: magnetization 0.00 μB per formula unit, calculated volume 165.73 Å³/f.u., VASP energy -4.443 eV per atom. Number 21: magnetization 0.00 μB per formula unit, calculated volume 325.46 Å³/f.u., VASP energy -2.653 eV per atom. Number 22: magnetization 0.00 μB per formula unit, calculated volume 358.08 Å³/f.u., VASP energy -2.752 eV per atom.